## Tm3Ge13Pt4 (GGA-PBEsol)

Data for an optimized crystal structure of Tm3Ge13Pt4.

Output
**E**: -5.90 eV per atom
**Calculated formation energy**: -13.0 kcal/mol of atoms

Unit cell a=8.9390 b=8.9390 c=8.9438 alpha=90.24 beta=90.24 gamma=89.76
Last column: nearest neighbours and their distance in Å.
Sites, in units of the cell vectors:
Tm 0.9998 0.0002 0.0000  10 Ge 2.99-3.26, 4 Pt 3.12-3.19
Tm 0.0002 0.9998 0.5000  10 Ge 2.99-3.26, 4 Pt 3.12-3.19
Tm 0.2486 0.5002 0.2488  10 Ge 2.99-3.25, 4 Pt 3.13-3.19
Tm 0.5002 0.2486 0.7488  10 Ge 2.99-3.25, 4 Pt 3.13-3.19
Tm 0.4998 0.7475 0.7484  10 Ge 2.99-3.26, 4 Pt 3.13-3.19
Tm 0.7475 0.4998 0.2484  10 Ge 2.99-3.26, 4 Pt 3.13-3.19
Ge 0.0000 0.3327 0.0984  2 Pt 2.52, 2 Ge 2.59-2.64
Ge 0.0025 0.5030 0.7460  6 Ge 2.53-2.73
Ge 0.1079 0.2402 0.7496  2 Ge 2.53-2.59, 2 Pt 2.54-2.57
Ge 0.1166 0.7834 0.7491  2 Pt 2.55-2.57, 2 Ge 2.66-2.71
Ge 0.1502 0.8328 0.2484  2 Pt 2.52, 2 Ge 2.59-2.64
Ge 0.2402 0.1079 0.2496  2 Ge 2.53-2.59, 2 Pt 2.54-2.57
Ge 0.2851 0.4991 0.6316  2 Pt 2.55-2.57, 2 Ge 2.66-2.73
Ge 0.3278 0.9967 0.8937  2 Pt 2.51-2.55, 2 Ge 2.64-2.65
Ge 0.3327 0.0000 0.5984  2 Pt 2.52, 2 Ge 2.59-2.64
Ge 0.3545 0.4967 0.9214  2 Pt 2.51-2.55, 2 Ge 2.65-2.66
Ge 0.4967 0.3545 0.4214  2 Pt 2.51-2.55, 2 Ge 2.65-2.66
Ge 0.4991 0.2851 0.1316  2 Pt 2.55-2.57, 2 Ge 2.66-2.73
Ge 0.4987 0.7394 0.1406  2 Ge 2.53-2.59, 2 Pt 2.54-2.57
Ge 0.5000 0.6504 0.4159  2 Pt 2.51-2.52, 2 Ge 2.59-2.65
Ge 0.5030 0.0025 0.2460  6 Ge 2.53-2.73
Ge 0.6079 0.9987 0.5093  2 Ge 2.53-2.59, 2 Pt 2.54-2.57
Ge 0.6163 0.9993 0.9652  2 Pt 2.55-2.57, 2 Ge 2.65-2.71
Ge 0.6504 0.5000 0.9159  2 Pt 2.51-2.52, 2 Ge 2.59-2.65
Ge 0.7394 0.4987 0.6406  2 Ge 2.53-2.59, 2 Pt 2.54-2.57
Ge 0.7834 0.1166 0.2491  2 Pt 2.55-2.57, 2 Ge 2.66-2.71
Ge 0.8276 0.8546 0.7517  2 Pt 2.51-2.55, 2 Ge 2.64-2.66
Ge 0.8328 0.1502 0.7484  2 Pt 2.52, 2 Ge 2.59-2.64
Ge 0.8546 0.8276 0.2517  2 Pt 2.51-2.55, 2 Ge 2.64-2.66
Ge 0.9967 0.3278 0.3937  2 Pt 2.51-2.55, 2 Ge 2.64-2.65
Ge 0.9987 0.6079 0.0093  2 Ge 2.53-2.59, 2 Pt 2.54-2.57
Ge 0.9993 0.6163 0.4652  2 Pt 2.55-2.57, 2 Ge 2.65-2.71
Pt 0.2448 0.2477 0.4979  6 Ge 2.51-2.57
Pt 0.2477 0.2448 0.9979  6 Ge 2.51-2.57
Pt 0.2492 0.7493 0.4991  6 Ge 2.52-2.55
Pt 0.2504 0.7452 0.0006  6 Ge 2.51-2.57
Pt 0.7452 0.2504 0.5006  6 Ge 2.51-2.57
Pt 0.7480 0.7504 0.5034  6 Ge 2.51-2.57
Pt 0.7493 0.2492 0.9991  6 Ge 2.52-2.55
Pt 0.7504 0.7480 0.0034  6 Ge 2.51-2.57

=====

## ReSb2Cl (GGA-PBEsol)

Data for an optimized crystal structure of ReSb2Cl.

Output
**E**: -5.87 eV per atom
**Formation energy from raw total energies**: 0.24 eV/atom

Unit cell a=8.4074 b=8.4074 c=8.4074 alpha=157.32 beta=157.31 gamma=32.30
Last column: nearest neighbours and their distance in Å.
Sites, in units of the cell vectors:
Re 0.0000 0.0000 0.0000  6 Sb 2.66-2.72
Sb 0.3708 0.8708 0.5000  2 Re 2.66
Sb 0.5860 0.5860 0.0000  4 Re 2.72, 2 Cl 2.92
Cl 0.7350 0.2350 0.5000  6 Sb 2.92-3.21

=====

## LiAl3 (GGA-PBEsol)

Data for an optimized crystal structure of LiAl3.

Output
**E**: -3.63 eV per atom
**Calculated formation energy**: -1.7 kcal/mol of atoms

Unit cell a=4.9253 b=4.9253 c=4.9253 alpha=132.22 beta=132.22 gamma=69.89
Last column: nearest neighbours and their distance in Å.
Sites, in units of the cell vectors:
Li 0.0000 0.0000 0.0000  12 Al 2.82-2.84
Al 0.2500 0.7500 0.5000  8 Al 2.82-2.84, 4 Li 2.84
Al 0.5000 0.5000 0.0000  4 Li 2.82, 8 Al 2.84
Al 0.7500 0.2500 0.5000  8 Al 2.82-2.84, 4 Li 2.84

=====

## CuSbRh2 (GGA-PBEsol)

Data for an optimized crystal structure of CuSbRh2.

Output
**Distance to the lowest polymorph of the same formula**: 0.077 eV per atom
**E**: -6.52 eV per atom
**Formation energy from raw total energies**: -0.23 eV/atom

Unit cell a=4.0265 b=4.0265 c=3.5709 alpha=90.00 beta=90.00 gamma=90.00
Last column: nearest neighbours and their distance in Å.
Sites, in units of the cell vectors:
Cu 0.0000 0.0000 0.0000  8 Rh 2.69, 4 Sb 2.85
Sb 0.5000 0.5000 0.0000  8 Rh 2.69, 4 Cu 2.85
Rh 0.0000 0.5000 0.5000  4 Cu 2.69, 4 Sb 2.69, 4 Rh 2.85
Rh 0.5000 0.0000 0.5000  4 Cu 2.69, 4 Sb 2.69, 4 Rh 2.85

=====

DOS at the Fermi energy in states/eV/cell, matching the order above: 10.534 2.256 1.482 1.096
Ρ in g cm⁻³, matching the order above: 10.4 8.7 2.3 11.2
Spin magnetization in μB/f.u., matching the order above: 0.000 0.000 0.000 0.000